Entry 1:
Material: Na7Mg
Method: DFT, GGA-PBE
State: optimized geometry

Cell lengths 7.2932, 7.2932, 7.2932 Å; angles 60.00, 60.00, 60.00 degrees
With the nearest neighbours (Å) after each atom.
Fractional positions:
Na 0.5000 0.5000 0.0000  10 Na 3.65, 2 Mg 3.65
Na 0.0000 0.5000 0.5000  10 Na 3.65, 2 Mg 3.65
Na 0.0000 0.0000 0.5000  10 Na 3.65, 2 Mg 3.65
Na 0.0000 0.5000 0.0000  2 Mg 3.65, 10 Na 3.65
Na 0.5000 0.5000 0.5000  12 Na 3.65
Na 0.5000 0.0000 0.5000  10 Na 3.65, 2 Mg 3.65
Na 0.5000 0.0000 0.0000  10 Na 3.65, 2 Mg 3.65
Mg 0.0000 0.0000 0.0000  12 Na 3.65

magnetic moment: 0.0 μB/cell
calculated density: 1.12 g/cm³
calculated formation energy: 0.05 eV per atom
final energy: -1.31 eV per atom
Fermi-level density of states: 3.02 states/eV per cell

Entry 2:
Material: HPb2Au2
Method: DFT, GGA-PBE
State: optimized geometry

Cell lengths 7.5206, 7.5206, 4.0694 Å; angles 90.00, 90.00, 90.00 degrees
With the nearest neighbours (Å) after each atom.
Fractional positions:
Au 0.6384 0.1384 0.0000  6 Pb 2.90-3.08, 2 H 2.91, 1 Au 2.94
Au 0.1384 0.3616 0.0000  6 Pb 2.90-3.08, 2 H 2.91, 1 Au 2.94
Au 0.8616 0.6384 0.0000  6 Pb 2.90-3.08, 2 H 2.91, 1 Au 2.94
Au 0.3616 0.8616 0.0000  6 Pb 2.90-3.08, 2 H 2.91, 1 Au 2.94
Pb 0.6672 0.8328 0.5000  6 Au 2.90-3.08
Pb 0.8328 0.3328 0.5000  6 Au 2.90-3.08
Pb 0.1672 0.6672 0.5000  6 Au 2.90-3.08
Pb 0.3328 0.1672 0.5000  6 Au 2.90-3.08
H 0.0000 0.0000 0.0000  4 Au 2.91
H 0.5000 0.5000 0.0000  4 Au 2.91

magnetic moment: 0.0 μB/cell
calculated density: 11.68 g/cm³
final energy: -3.08 eV per atom
Fermi-level density of states: 3.91 states/eV per cell
energy relative to the lowest polymorph listed for this composition: 0.67 eV/f.u.